The following is a DFT calculation (PBE) of crystalline Ba2AgAu2 at its relaxed geometry.

Properties
raw total energy = -32.12 eV/cell
distance to the lowest polymorph of the same formula = 32.5 meV per atom
SG = No. 127
formation enthalpy at 0 K = -0.561 eV per atom

Cell: 8.4534 8.4534 4.4810 Å, 90.00 90.00 90.00°
Closest atoms and distances in Å follow each position.
Positions (direct):
1 Ba 0.1770 0.3230 0.0000  6 Au 3.28-3.41
2 Ba 0.3230 0.8230 0.0000  6 Au 3.28-3.41
3 Ba 0.6770 0.1770 0.0000  6 Au 3.28-3.41
4 Ba 0.8230 0.6770 0.0000  6 Au 3.28-3.41
5 Ag 0.0000 0.0000 0.5000  4 Au 3.35
6 Ag 0.5000 0.5000 0.5000  4 Au 3.35
7 Au 0.1228 0.6228 0.5000  1 Au 2.94, 2 Ba 3.28
8 Au 0.3772 0.1228 0.5000  1 Au 2.94, 2 Ba 3.28
9 Au 0.6228 0.8772 0.5000  1 Au 2.94, 2 Ba 3.28
10 Au 0.8772 0.3772 0.5000  1 Au 2.94, 2 Ba 3.28

=====

The following is a DFT calculation (PBE) of crystalline K2ZnAgP2 at its relaxed geometry.

Properties
raw total energy = -37.25 eV/cell
SG = No. 72
formation enthalpy at 0 K = -0.248 eV per atom

Cell: 8.8554 8.8554 8.8554 Å, 139.68 58.08 140.03°
Closest atoms and distances in Å follow each position.
Positions (direct):
1 K 0.1730 0.2389 0.4119  5 P 3.24-3.63, 2 Ag 3.40, 2 Zn 3.46
2 K 0.3270 0.7389 0.0659  5 P 3.24-3.63, 2 Ag 3.40, 2 Zn 3.46
3 K 0.6730 0.2611 0.9341  5 P 3.24-3.63, 2 Ag 3.40, 2 Zn 3.46
4 K 0.8270 0.7611 0.5881  5 P 3.24-3.63, 2 Ag 3.40, 2 Zn 3.46
5 Zn 0.2500 0.7500 0.5000  4 P 2.51
6 Zn 0.7500 0.2500 0.5000  4 P 2.51
7 Ag 0.2500 0.2500 0.0000  4 P 2.66
8 Ag 0.7500 0.7500 0.0000  4 P 2.66
9 P 0.0928 0.7289 0.8217  2 Zn 2.51, 2 Ag 2.66
10 P 0.4072 0.2289 0.6361  2 Zn 2.51, 2 Ag 2.66
11 P 0.5928 0.7711 0.3639  2 Zn 2.51, 2 Ag 2.66
12 P 0.9072 0.2711 0.1783  2 Zn 2.51, 2 Ag 2.66

=====

The following is a DFT calculation (PBE) of crystalline KLiTl2Cl8 at its relaxed geometry.

Properties
formation energy from raw total energies = -1.05 eV/atom
raw total energy = -35.07 eV/cell
SG = No. 82

Cell: 9.3967 9.3967 9.3967 Å, 138.81 138.81 59.67°
Closest atoms and distances in Å follow each position.
Positions (direct):
1 K 0.0000 0.0000 0.0000  4 Cl 3.05
2 Li 0.7500 0.2500 0.5000  4 Cl 2.74
3 Tl 0.2500 0.7500 0.5000  4 Cl 2.51
4 Tl 0.5000 0.5000 0.0000  4 Cl 2.47
5 Cl 0.0436 0.6226 0.0272  1 Tl 2.51, 1 Li 2.74
6 Cl 0.1676 0.2300 0.5730  1 Tl 2.47
7 Cl 0.3774 0.4046 0.4210  1 Tl 2.51, 1 Li 2.74
8 Cl 0.4054 0.8324 0.0624  1 Tl 2.47
9 Cl 0.5954 0.0165 0.9728  1 Tl 2.51, 1 Li 2.74
10 Cl 0.6570 0.5946 0.4270  1 Tl 2.47
11 Cl 0.7700 0.3430 0.9376  1 Tl 2.47
12 Cl 0.9835 0.9564 0.5790  1 Tl 2.51, 1 Li 2.74

=====

The following is a DFT calculation (PBE) of crystalline CaPuI4 at its relaxed geometry.

Properties
formation energy from raw total energies = -1.32 eV/atom
raw total energy = -30.43 eV/cell
SG = No. 10

Cell: 7.6397 4.5073 7.9176 Å, 90.00 91.38 90.00°
Closest atoms and distances in Å follow each position.
Positions (direct):
1 Ca 0.0000 0.0000 0.0000  6 I 3.16-3.17
2 Pu 0.0000 0.5000 0.5000  6 I 3.20-3.22
3 I 0.2356 0.5000 0.1681  2 Ca 3.16, 1 Pu 3.22
4 I 0.2382 0.0000 0.6781  1 Ca 3.17, 2 Pu 3.20
5 I 0.7618 0.0000 0.3219  1 Ca 3.17, 2 Pu 3.20
6 I 0.7644 0.5000 0.8319  2 Ca 3.16, 1 Pu 3.22